{"formula": "K2NaN", "functional": "GGA-PBE", "state": "optimized geometry", "lattice": [[-5.439, 5.439, 2.348], [5.439, -5.439, 2.348], [5.439, 5.439, -2.348]], "species": ["K", "K", "K", "K", "Na", "Na", "N", "N"], "fractional_positions": [[0.375, 0.065, 0.190], [0.815, 0.625, 0.690], [0.875, 0.185, 0.810], [0.935, 0.125, 0.310], [0.250, 0.750, 0.500], [0.500, 0.500, 0.000], [0.000, 0.000, 0.000], [0.750, 0.250, 0.500]], "e_form_raw_mev_per_atom": 409}